# LiAcNpO6 | the Alexandria database | PBE | relaxed
# calculated volume = 15.189 Å³ per atom
# size of the total moment = 0.005 μB per cell
# final energy = -7.952 eV/atom
# ρ = 6.89 g cm⁻³
# E_form (uncorrected) = -2.540 eV per atom
data_LiAcNpO6
_chemical_formula_sum 'Li2 Ac2 Np2 O12'
_symmetry_space_group_name_H-M 'P -3 1 c'
_symmetry_Int_Tables_number 163
_symmetry_space_group_name_Hall '-P 3 2c'
_cell_length_a 5.4125
_cell_length_b 5.4125
_cell_length_c 10.7761
_cell_angle_alpha 90.00
_cell_angle_beta 90.00
_cell_angle_gamma 120.00
loop_
_atom_site_label
_atom_site_type_symbol
_atom_site_fract_x
_atom_site_fract_y
_atom_site_fract_z
Li1 Li 0.3333 0.6667 0.2500
Ac1 Ac 0.0000 0.0000 0.0000
Np1 Np 0.3333 0.6667 0.7500
O1 O 0.0209 0.3740 0.6441